# NbTcSb2Te | Alexandria via LeMat-Bulk | GGA-PBE | optimized geometry
data_NbTcSb2Te
_space_group_name_H-M_alt 'P 4/m m m'
_space_group_IT_number 123
_space_group_name_Hall '-P 4 2'
_cell_length_a 5.0295
_cell_length_b 5.0295
_cell_length_c 5.4882
_cell_angle_alpha 90.00
_cell_angle_beta 90.00
_cell_angle_gamma 90.00
loop_
_atom_site_label
_atom_site_type_symbol
_atom_site_fract_x
_atom_site_fract_y
_atom_site_fract_z
Nb1 Nb 0.0000 0.0000 0.0000
Tc1 Tc 0.5000 0.5000 0.5000
Sb1 Sb 0.0000 0.5000 0.5000
Te1 Te 0.5000 0.5000 0.0000
# Offset from the most stable computed form = 0 meV/atom
# Formation energy (no corrections) = 0.9778 eV per atom
# Electronic total energy = -26.933 eV/f.u.